VASP calculation (meta-GGA SCAN) on a crystal of B9H11 relaxed with PBEsol.

abc: 9.0184 12.8452 12.2726
angles: 90.00 110.28 90.00
With the nearest neighbours (Å) after each atom.
Space group P2_1/c (No. 14)
Unique sites:
B: 0.0001 0.0890 0.1419 x4  2 H 1.20-1.33
B: 0.0439 0.5822 0.2275 x4  2 H 1.20-1.33
B: 0.0793 0.5112 0.7362 x4  1 H 1.20
B: 0.0855 0.1570 0.4076 x4  2 H 1.20-1.32
B: 0.1184 0.0266 0.3815 x4  1 H 1.20
B: 0.2051 0.0654 0.1845 x4  2 H 1.20-1.33
B: 0.2358 0.2323 0.3830 x4  2 H 1.37
B: 0.2760 0.0194 0.3263 x4  1 H 1.20
B: 0.2781 0.2182 0.7666 x4  1 H 1.20
B: 0.2822 0.1084 0.4382 x4  1 H 1.20
B: 0.3273 0.1439 0.8975 x4  2 H 1.19-1.32
B: 0.3368 0.1483 0.3141 x4  7 B 1.77-1.95
B: 0.3501 0.7285 0.9985 x4  3 H 1.20-1.34
B: 0.3730 0.7185 0.6315 x4  1 H 1.20
B: 0.4333 0.6506 0.1231 x4  2 H 1.20-1.33
B: 0.4468 0.6492 0.5342 x4  2 H 1.20-1.33
B: 0.4518 0.1445 0.8156 x4  1 H 1.20
B: 0.4565 0.2281 0.2612 x4  1 H 1.20
H: 0.0326 0.1806 0.4811 x4  1 B 1.20
H: 0.0425 0.5996 0.7083 x4  1 B 1.20
H: 0.0501 0.6610 0.2996 x4  2 B 1.33-1.34
H: 0.0748 0.2413 0.3444 x4  2 B 1.32-1.37
H: 0.0894 0.5331 0.9465 x4  1 B 1.20
H: 0.0931 0.5875 0.4552 x4  1 B 1.20
H: 0.1193 0.1497 0.1409 x4  2 B 1.33
H: 0.1723 0.1949 0.6792 x4  1 B 1.20
H: 0.1783 0.5687 0.2344 x4  1 B 1.20
H: 0.2323 0.7102 0.9180 x4  1 B 1.20
H: 0.2574 0.0673 0.9065 x4  1 B 1.19
H: 0.2604 0.6929 0.6556 x4  1 B 1.20
H: 0.2628 0.0409 0.1137 x4  1 B 1.20
H: 0.3161 0.2085 0.9775 x4  2 B 1.32-1.37
H: 0.3678 0.5731 0.1361 x4  1 B 1.20
H: 0.3740 0.0968 0.5352 x4  1 B 1.20
H: 0.3760 0.5466 0.8458 x4  1 B 1.20
H: 0.3868 0.5749 0.4771 x4  1 B 1.20
H: 0.4383 0.6425 0.0163 x4  2 B 1.33
H: 0.4483 0.7211 0.4561 x4  2 B 1.33-1.34
H: 0.4537 0.0631 0.7680 x4  1 B 1.20
H: 0.4617 0.2046 0.1680 x4  1 B 1.20

Output
- Electronic total energy: -0.1969 Ha/atom
- D(E_F): 0.00 states/eV per atom
- M_tot: 0.00 μB/atom